Record 1
The following is a SCAN calculation of a PBEsol-optimized structure of LiScTc3, from the Alexandria database.

Values from the calculation:
- Density: 7.87 Mg/m³
- VASP energy: -117.12 eV for the cell shown
- ΔH_f (0 K): 937 meV per atom
- Space-group type: Pm-3m (221)
- Size of the total moment: 0.00 μB per formula unit

a = 4.179 Å, b = 4.179 Å, c = 4.179 Å
α = 90.00°, β = 90.00°, γ = 90.00°
Element x y z (fractional)
Sc: 0.500 0.500 0.500
Tc: 0.000 0.500 0.000
Tc: 0.000 0.000 0.500
Tc: 0.500 0.000 0.000
Li: 0.000 0.000 0.000

=====

Record 2
The following is a SCAN calculation of a PBEsol-optimized structure of Li2ScTc, from the Alexandria database.

Values from the calculation:
- Density: 3.97 Mg/m³
- VASP energy: -53.48 eV for the cell shown
- ΔH_f (0 K): 150 meV per atom
- Space-group type: Immm (71)
- Size of the total moment: 0.00 μB per formula unit

a = 2.947 Å, b = 4.363 Å, c = 5.741 Å
α = 112.33°, β = 104.87°, γ = 90.00°
Element x y z (fractional)
Li: 0.732 0.732 0.465
Li: 0.268 0.268 0.535
Sc: 0.500 0.000 0.000
Tc: 0.000 0.500 0.000

=====

Record 3
The following is a SCAN calculation of a PBEsol-optimized structure of LiSc2Tc, from the Alexandria database.

Values from the calculation:
- Density: 4.14 Mg/m³
- Offset from the most stable computed form: 0.0 meV per atom
- VASP energy: -66.61 eV for the cell shown
- ΔH_f (0 K): -170 meV per atom
- Space-group type: P2/m (10)
- Size of the total moment: 0.08 μB per formula unit

a = 3.242 Å, b = 3.242 Å, c = 7.432 Å
α = 90.00°, β = 90.14°, γ = 90.00°
Element x y z (fractional)
Sc: 0.001 0.000 0.799
Sc: 0.999 0.000 0.201
Tc: 0.500 0.500 0.000
Li: 0.500 0.500 0.500

=====

Copy entry 3 word for word.
The following is a SCAN calculation of a PBEsol-optimized structure of LiSc2Tc, from the Alexandria database.

Values from the calculation:
- Density: 4.14 Mg/m³
- Offset from the most stable computed form: 0.0 meV per atom
- VASP energy: -66.61 eV for the cell shown
- ΔH_f (0 K): -170 meV per atom
- Space-group type: P2/m (10)
- Size of the total moment: 0.08 μB per formula unit

a = 3.242 Å, b = 3.242 Å, c = 7.432 Å
α = 90.00°, β = 90.14°, γ = 90.00°
Element x y z (fractional)
Sc: 0.001 0.000 0.799
Sc: 0.999 0.000 0.201
Tc: 0.500 0.500 0.000
Li: 0.500 0.500 0.500

=====

Q: density of number 2 (Li2ScTc)?
A: 3.97 Mg/m³